Below is a relaxed Ba3CrGa2O8 crystal, with properties calculated at the PBE with a Hubbard U level.

magnetization	1.94	μB per cell
E_tot	-6.374	eV/atom
ρ	5.7	Mg/m³
SG	No. 164

Lattice parameters (Å, degrees): 5.738 5.738 7.452 90.00 90.00 120.00
Last column: magnetic moment on the atom in μB.
Atoms (fractional coordinates):
Ba  0.333  0.667  0.663  0.00
Ba  0.667  0.333  0.337  0.00
Ba  0.000  0.000  0.000  0.00
Cr  0.000  0.000  0.500  2.17
Ga  0.333  0.667  0.233  -0.01
Ga  0.667  0.333  0.767  -0.01
O  0.333  0.667  0.995  -0.05
O  0.667  0.333  0.005  -0.05
O  0.159  0.841  0.340  -0.03
O  0.841  0.159  0.660  -0.03
O  0.159  0.319  0.340  -0.03
O  0.841  0.681  0.660  -0.03
O  0.681  0.841  0.340  -0.03
O  0.319  0.159  0.660  -0.03